(1)
The following is a DFT calculation (PBE) of a geometry-optimized KZrOF2 structure.

The energy above the most stable polymorph in this dataset comes out at 0.0 meV per atom. Its space group is P4/mmm, No. 123.

CIF file:
```
data_KZrOF2
_chemical_formula_sum 'K1 Zr1 O1 F2'
_cell_length_a 4.469
_cell_length_b 4.469
_cell_length_c 4.146
_cell_angle_alpha 90.00
_cell_angle_beta 90.00
_cell_angle_gamma 90.00
_space_group_name_H-M_alt 'P 1'
_space_group_IT_number 1
loop_
_space_group_symop_operation_xyz
'x,y,z'
loop_
_atom_site_label
_atom_site_type_symbol
_atom_site_fract_x
_atom_site_fract_y
_atom_site_fract_z
_atom_site_occupancy
Zr1 Zr 0.000 0.000 0.000 1
F1 F 0.500 0.000 0.000 1
K1 K 0.500 0.500 0.500 1
O1 O 0.000 0.000 0.500 1
F2 F 0.000 0.500 0.000 1
```


(2)
The following is a DFT calculation (PBE) of a geometry-optimized KOsF6 structure.

The calculation puts the total energy at -40.87 eV for the cell shown. Its space group is P312, No. 149.

CIF file:
```
data_KOsF6
_chemical_formula_sum 'K1 Os1 F6'
_cell_length_a 5.622
_cell_length_b 5.672
_cell_length_c 5.672
_cell_angle_alpha 120.00
_cell_angle_beta 90.00
_cell_angle_gamma 90.00
_space_group_name_H-M_alt 'P 1'
_space_group_IT_number 1
loop_
_space_group_symop_operation_xyz
'x,y,z'
loop_
_atom_site_label
_atom_site_type_symbol
_atom_site_fract_x
_atom_site_fract_y
_atom_site_fract_z
_atom_site_occupancy
K1 K 0.500 0.000 0.000 1
F1 F 0.801 0.667 0.059 1
F2 F 0.199 0.667 0.607 1
F3 F 0.801 0.941 0.607 1
F4 F 0.199 0.941 0.333 1
F5 F 0.801 0.393 0.333 1
Os1 Os 0.000 0.667 0.333 1
F6 F 0.199 0.393 0.059 1
```


no.,total magnetic moment (μB/atom)
1,0.20
2,0.37